First-principles (PBE) data for crystalline CoNi3Ge2 at its relaxed geometry, as listed in the Alexandria database.

a b c (Å): 6.9933 6.9933 6.9933
angles (deg): 138.21 60.48 138.35
Fractional coordinates of all 12 atoms:
Co (0.2500, 0.2500, 0.0000)
Co (0.7500, 0.7500, 0.0000)
Ni (0.1751, 0.7382, 0.9133)
Ni (0.2500, 0.7500, 0.5000)
Ni (0.3249, 0.2382, 0.5631)
Ni (0.6751, 0.7618, 0.4369)
Ni (0.7500, 0.2500, 0.5000)
Ni (0.8249, 0.2618, 0.0867)
Ge (0.1319, 0.2399, 0.3717)
Ge (0.3681, 0.7399, 0.1080)
Ge (0.6319, 0.2601, 0.8920)
Ge (0.8681, 0.7601, 0.6283)

DOS at the Fermi energy	10.09	states/eV per cell
total DFT energy (no corrections)	-0.428	Ry per atom